P:
NiAgHPt2 PBE-GGA optimized geometry; magnetic moment = 0.93 μB per formula unit; D(E_F) = 4.091 states/eV/cell
1.0
3.986 0.000 0.000
0.000 3.986 0.000
0.000 0.000 3.975
Ni Ag H Pt
1 1 1 2
direct
0.000 0.000 0.000 Ni
0.500 0.500 0.000 Ag
0.000 0.000 0.500 H
0.000 0.500 0.500 Pt
0.500 0.000 0.500 Pt

---

Q:
NiAgHPt2 PBE-GGA optimized geometry; magnetic moment = 1.15 μB per formula unit; D(E_F) = 4.175 states/eV/cell
1.0
3.925 0.000 0.000
0.000 3.925 0.000
0.000 0.000 4.166
Ni Ag H Pt
1 1 1 2
direct
0.000 0.000 0.000 Ni
0.500 0.500 0.000 Ag
0.500 0.500 0.500 H
0.000 0.500 0.500 Pt
0.500 0.000 0.500 Pt

---

The structure with the most favorable energy is P; the runner-up is 73 meV/atom above it.

---

P:
ZnNi2AgH PBE-GGA optimized geometry; magnetic moment = 0.00 μB per formula unit; D(E_F) = 1.787 states/eV/cell
1.0
3.703 0.000 0.000
0.000 3.703 0.000
0.000 0.000 4.011
Zn Ni Ag H
1 2 1 1
direct
0.000 0.000 0.000 Zn
0.000 0.500 0.500 Ni
0.500 0.000 0.500 Ni
0.500 0.500 0.000 Ag
0.000 0.000 0.500 H

---

Q:
ZnNi2AgH PBE-GGA optimized geometry; magnetic moment = 0.00 μB per formula unit; D(E_F) = 1.001 states/eV/cell
1.0
3.724 0.000 0.000
0.000 3.724 0.000
0.000 0.000 3.994
Zn Ni Ag H
1 2 1 1
direct
0.000 0.000 0.000 Zn
0.000 0.500 0.500 Ni
0.500 0.000 0.500 Ni
0.500 0.500 0.000 Ag
0.500 0.500 0.500 H

---

The structure with the most favorable energy is Q; the runner-up is 19 meV/atom above it.

---

P:
Ag2H2O PBE-GGA optimized geometry; magnetic moment = 0.00 μB per formula unit; D(E_F) = 2.291 states/eV/cell
1.0
-1.543 1.543 5.201
1.543 -1.543 5.201
1.543 1.543 -5.201
Ag H O
2 2 1
direct
0.135 0.135 0.000 Ag
0.865 0.865 0.000 Ag
0.250 0.750 0.500 H
0.750 0.250 0.500 H
0.500 0.500 0.000 O

---

Q:
Ag2H2O PBE-GGA optimized geometry; magnetic moment = 0.00 μB per formula unit; D(E_F) = 1.245 states/eV/cell
1.0
4.368 0.000 0.000
0.000 4.368 0.000
0.000 0.000 3.508
Ag H O
2 2 1
direct
0.000 0.500 0.000 Ag
0.500 0.000 0.000 Ag
0.000 0.500 0.500 H
0.500 0.000 0.500 H
0.000 0.000 0.000 O

---

The structure with the most favorable energy is Q; the runner-up is 48 meV/atom above it.

---

P:
AgHO PBE-GGA optimized geometry; magnetic moment = 0.00 μB per formula unit
1.0
5.576 0.000 0.000
-2.788 4.829 0.000
0.000 0.000 5.598
Ag H O
3 3 3
direct
0.187 0.393 0.000 Ag
0.207 0.813 0.333 Ag
0.607 0.793 0.667 Ag
0.550 0.225 0.622 H
0.675 0.450 0.955 H
0.775 0.325 0.288 H
0.535 0.419 0.825 O
0.581 0.116 0.492 O
0.884 0.465 0.159 O

---

Q:
AgHO PBE-GGA optimized geometry; magnetic moment = 0.00 μB per formula unit; D(E_F) = 0.530 states/eV/cell
1.0
2.613 -2.289 0.000
2.613 2.289 0.000
-0.039 0.000 2.972
Ag H O
1 1 1
direct
0.000 0.000 0.000 Ag
0.502 0.502 0.414 H
0.499 0.499 0.083 O

---

R:
AgHO PBE-GGA optimized geometry; magnetic moment = 0.00 μB per formula unit; D(E_F) = 0.817 states/eV/cell
1.0
-1.701 1.701 3.560
1.701 -1.701 3.560
1.701 1.701 -3.560
Ag H O
1 1 1
direct
0.000 0.000 0.000 Ag
0.333 0.333 0.000 H
0.471 0.471 0.000 O

---

The structure with the most favorable energy is P; the runner-up is 68 meV/atom above it.

---

P:
AgH3O PBE-GGA optimized geometry; magnetic moment = 1.47 μB per formula unit; D(E_F) = 2.363 states/eV/cell
1.0
3.513 0.000 0.000
0.000 3.513 0.000
0.000 0.000 3.513
Ag H O
1 3 1
direct
0.000 0.000 0.000 Ag
0.000 0.000 0.500 H
0.000 0.500 0.000 H
0.500 0.000 0.000 H
0.500 0.500 0.500 O

---

Q:
AgH3O PBE-GGA optimized geometry; magnetic moment = 0.00 μB per formula unit; D(E_F) = 1.503 states/eV/cell
1.0
3.340 0.000 0.000
0.000 3.340 0.000
0.000 0.000 3.340
Ag H O
1 3 1
direct
0.000 0.000 0.000 Ag
0.000 0.500 0.500 H
0.500 0.000 0.500 H
0.500 0.500 0.000 H
0.500 0.500 0.500 O

---

The structure with the most favorable energy is Q; the runner-up is 115 meV/atom above it.

---

P:
AgH2Os PBE-GGA optimized geometry; magnetic moment = 0.00 μB per formula unit; D(E_F) = 2.302 states/eV/cell
1.0
0.000 2.688 2.688
2.688 0.000 2.688
2.688 2.688 0.000
Ag H Os
1 2 1
direct
0.000 0.000 0.000 Ag
0.250 0.250 0.250 H
0.750 0.750 0.750 H
0.500 0.500 0.500 Os

---

Q:
AgH2Os PBE-GGA optimized geometry; magnetic moment = 0.00 μB per formula unit; D(E_F) = 5.874 states/eV/cell
1.0
-2.611 2.611 2.870
2.611 -2.611 2.870
2.611 2.611 -2.870
Ag H Os
2 4 2
direct
0.000 0.000 0.000 Ag
0.750 0.250 0.500 Ag
0.198 0.625 0.073 H
0.375 0.448 0.573 H
0.552 0.125 0.927 H
0.875 0.802 0.427 H
0.250 0.750 0.500 Os
0.500 0.500 0.000 Os

---

The structure with the most favorable energy is Q; the runner-up is 643 meV/atom above it.

---

P:
Ag2HOs PBE-GGA optimized geometry; magnetic moment = 0.00 μB per formula unit; D(E_F) = 7.720 states/eV/cell
1.0
-3.224 3.224 2.604
3.224 -3.224 2.604
3.224 3.224 -2.604
Ag H Os
4 2 2
direct
0.035 0.625 0.910 Ag
0.375 0.285 0.410 Ag
0.715 0.125 0.090 Ag
0.875 0.965 0.590 Ag
0.000 0.000 0.000 H
0.750 0.250 0.500 H
0.250 0.750 0.500 Os
0.500 0.500 0.000 Os

---

Q:
Ag2HOs PBE-GGA optimized geometry; magnetic moment = 2.10 μB per formula unit; D(E_F) = 4.027 states/eV/cell
1.0
0.000 3.130 3.130
3.130 0.000 3.130
3.130 3.130 0.000
Ag H Os
2 1 1
direct
0.250 0.250 0.250 Ag
0.750 0.750 0.750 Ag
0.000 0.000 0.000 H
0.500 0.500 0.500 Os

---

The structure with the most favorable energy is P; the runner-up is 405 meV/atom above it.

---

P:
AgHOs3 PBE-GGA optimized geometry; magnetic moment = 7.07 μB per formula unit; D(E_F) = 8.330 states/eV/cell
1.0
4.874 0.000 0.000
0.000 4.874 0.000
0.000 0.000 4.874
Ag H Os
1 1 3
direct
0.000 0.000 0.000 Ag
0.500 0.500 0.500 H
0.000 0.000 0.500 Os
0.000 0.500 0.000 Os
0.500 0.000 0.000 Os

---

Q:
AgHOs3 PBE-GGA optimized geometry; magnetic moment = 0.89 μB per formula unit; D(E_F) = 6.045 states/eV/cell
1.0
3.972 0.000 0.000
0.000 3.972 0.000
0.000 0.000 3.972
Ag H Os
1 1 3
direct
0.000 0.000 0.000 Ag
0.500 0.500 0.500 H
0.000 0.500 0.500 Os
0.500 0.000 0.500 Os
0.500 0.500 0.000 Os

---

The structure with the most favorable energy is Q; the runner-up is 2970 meV/atom above it.

---

P:
AgHOs2 PBE-GGA optimized geometry; magnetic moment = 0.00 μB per formula unit; D(E_F) = 6.864 states/eV/cell
1.0
-3.074 3.074 2.636
3.074 -3.074 2.636
3.074 3.074 -2.636
Ag H Os
2 2 4
direct
0.000 0.000 0.000 Ag
0.750 0.250 0.500 Ag
0.250 0.750 0.500 H
0.500 0.500 0.000 H
0.231 0.125 0.606 Os
0.375 0.769 0.894 Os
0.519 0.625 0.394 Os
0.875 0.481 0.106 Os

---

Q:
AgHOs2 PBE-GGA optimized geometry; magnetic moment = 0.00 μB per formula unit; D(E_F) = 3.988 states/eV/cell
1.0
0.000 2.982 2.982
2.982 0.000 2.982
2.982 2.982 0.000
Ag H Os
1 1 2
direct
0.000 0.000 0.000 Ag
0.500 0.500 0.500 H
0.250 0.250 0.250 Os
0.750 0.750 0.750 Os

---

The structure with the most favorable energy is P; the runner-up is 674 meV/atom above it.

---

P:
AgP3H PBE-GGA optimized geometry; magnetic moment = 0.00 μB per formula unit; D(E_F) = 2.403 states/eV/cell
1.0
4.094 0.000 0.000
0.000 4.094 0.000
0.000 0.000 4.094
Ag P H
1 3 1
direct
0.000 0.000 0.000 Ag
0.000 0.500 0.500 P
0.500 0.000 0.500 P
0.500 0.500 0.000 P
0.500 0.500 0.500 H

---

Q:
AgP3H PBE-GGA optimized geometry; magnetic moment = 0.15 μB per formula unit; D(E_F) = 4.233 states/eV/cell
1.0
4.871 0.000 0.000
0.000 4.871 0.000
0.000 0.000 4.871
Ag P H
1 3 1
direct
0.000 0.000 0.000 Ag
0.000 0.000 0.500 P
0.000 0.500 0.000 P
0.500 0.000 0.000 P
0.500 0.500 0.500 H

---

The structure with the most favorable energy is P; the runner-up is 877 meV/atom above it.

---

P:
AgHPb3 PBE-GGA optimized geometry; magnetic moment = 0.00 μB per formula unit; D(E_F) = 1.051 states/eV/cell
1.0
4.900 0.000 0.000
0.000 4.900 0.000
0.000 0.000 4.900
Ag H Pb
1 1 3
direct
0.000 0.000 0.000 Ag
0.500 0.500 0.500 H
0.000 0.500 0.500 Pb
0.500 0.000 0.500 Pb
0.500 0.500 0.000 Pb

---

Q:
AgHPb3 PBE-GGA optimized geometry; magnetic moment = 0.00 μB per formula unit; D(E_F) = 2.814 states/eV/cell
1.0
5.517 0.000 0.000
0.000 5.517 0.000
0.000 0.000 5.517
Ag H Pb
1 1 3
direct
0.000 0.000 0.000 Ag
0.500 0.500 0.500 H
0.000 0.000 0.500 Pb
0.000 0.500 0.000 Pb
0.500 0.000 0.000 Pb

---

The structure with the most favorable energy is P; the runner-up is 570 meV/atom above it.

---

P:
AgH3Pb PBE-GGA optimized geometry; magnetic moment = 0.00 μB per formula unit; D(E_F) = 0.912 states/eV/cell
1.0
4.183 0.000 0.000
0.000 4.183 0.000
0.000 0.000 4.183
Ag H Pb
1 3 1
direct
0.000 0.000 0.000 Ag
0.000 0.500 0.500 H
0.500 0.000 0.500 H
0.500 0.500 0.000 H
0.500 0.500 0.500 Pb

---

Q:
AgH3Pb PBE-GGA optimized geometry; magnetic moment = 0.00 μB per formula unit; D(E_F) = 1.152 states/eV/cell
1.0
3.953 0.000 0.000
0.000 3.953 0.000
0.000 0.000 3.953
Ag H Pb
1 3 1
direct
0.000 0.000 0.000 Ag
0.000 0.000 0.500 H
0.000 0.500 0.000 H
0.500 0.000 0.000 H
0.500 0.500 0.500 Pb

---

The structure with the most favorable energy is Q; the runner-up is 254 meV/atom above it.